The following is a PBE-GGA calculation of a relaxed structure of KTiRe2, from the Alexandria database.

Cell: 9.9579 9.9579 9.9579 Å, 155.10 155.10 35.51°
With the nearest neighbours (Å) after each atom.
Fractional positions:
K (0.0000, 0.0000, 0.0000)  4 Re 3.02, 4 Ti 3.04
K (0.7500, 0.2500, 0.5000)  4 Re 3.02, 4 Ti 3.04
Ti (0.2500, 0.7500, 0.5000)  4 Re 2.67
Ti (0.5000, 0.5000, 0.0000)  4 Re 2.67
Re (0.2324, 0.1250, 0.6074)  2 Re 2.47, 2 Ti 2.67
Re (0.3750, 0.7676, 0.8926)  2 Re 2.47, 2 Ti 2.67
Re (0.5176, 0.6250, 0.3926)  2 Re 2.47, 2 Ti 2.67
Re (0.8750, 0.4824, 0.1074)  2 Re 2.47, 2 Ti 2.67

Output
Energy above the lowest structure with this stoichiometry   0 meV per atom
Energy of formation from the pure elements   1.5308 eV/atom
Volume   21.9 Å³/atom

***

The following is a PBE-GGA calculation of a relaxed structure of KTi3Re, from the Alexandria database.

Cell: 4.3980 4.3980 4.3980 Å, 90.00 90.00 90.00°
With the nearest neighbours (Å) after each atom.
Fractional positions:
K (0.0000, 0.0000, 0.0000)  6 Ti 2.20
Ti (0.0000, 0.0000, 0.5000)  2 K 2.20
Ti (0.0000, 0.5000, 0.0000)  2 K 2.20
Ti (0.5000, 0.0000, 0.0000)  2 K 2.20
Re (0.5000, 0.5000, 0.5000)  12 Ti 3.11

Output
Energy above the lowest structure with this stoichiometry   1397 meV per atom
Energy of formation from the pure elements   2.1428 eV/atom
Volume   17.0 Å³/atom

***

The following is a PBE-GGA calculation of a relaxed structure of K2TiRe, from the Alexandria database.

Cell: 9.2539 9.2539 9.2539 Å, 93.45 93.45 151.61°
With the nearest neighbours (Å) after each atom.
Fractional positions:
K (0.3750, 0.0389, 0.1639)  2 Re 3.40, 2 Ti 3.76
K (0.7889, 0.6250, 0.6639)  2 Re 3.40, 2 Ti 3.76
K (0.8750, 0.2111, 0.8361)  2 Re 3.40, 2 Ti 3.76
K (0.9611, 0.1250, 0.3361)  2 Re 3.40, 2 Ti 3.76
Ti (0.2500, 0.7500, 0.5000)  2 Re 2.27
Ti (0.5000, 0.5000, 0.0000)  2 Re 2.27
Re (0.0000, 0.0000, 0.0000)  2 Ti 2.27
Re (0.7500, 0.2500, 0.5000)  2 Ti 2.27

Output
Energy of formation from the pure elements   1.4254 eV/atom
Volume   45.7 Å³/atom

***

The following is a PBE-GGA calculation of a relaxed structure of KTiRe2, from the Alexandria database.

Cell: 4.6219 4.6219 4.6219 Å, 60.00 60.00 60.00°
With the nearest neighbours (Å) after each atom.
Fractional positions:
K (0.0000, 0.0000, 0.0000)  8 Re 2.83
Ti (0.5000, 0.5000, 0.5000)  8 Re 2.83
Re (0.2500, 0.2500, 0.2500)  4 K 2.83, 4 Ti 2.83
Re (0.7500, 0.7500, 0.7500)  4 K 2.83, 4 Ti 2.83

Output
Energy above the lowest structure with this stoichiometry   47 meV per atom
Energy of formation from the pure elements   1.5781 eV/atom
Volume   17.5 Å³/atom